*1*
The following is a GGA-PBE calculation of a geometry-optimized ReTe3Se2 structure, from OQMD via LeMat-Bulk.

Structure (CIF):
```
data_ReTe3Se2
_space_group_name_H-M_alt 'P -1'
_space_group_IT_number 2
_space_group_name_Hall '-P 1'
_cell_length_a 6.8938
_cell_length_b 7.3370
_cell_length_c 8.1396
_cell_angle_alpha 116.70
_cell_angle_beta 90.83
_cell_angle_gamma 106.63
loop_
_atom_site_label
_atom_site_type_symbol
_atom_site_fract_x
_atom_site_fract_y
_atom_site_fract_z
Re1 Re 0.0009 0.2017 0.4994
Te1 Te 0.0026 0.2624 0.0198
Te2 Te 0.2318 0.5215 0.4160
Te3 Te 0.2722 0.0027 0.3628
Se1 Se 0.2172 0.9850 0.8180
Se2 Se 0.2219 0.4495 0.8140
```

*2*
The following is a GGA-PBE calculation of a geometry-optimized ReTe3Se2 structure, from OQMD via LeMat-Bulk.

Structure (CIF):
```
data_ReTe3Se2
_space_group_name_H-M_alt 'P -1'
_space_group_IT_number 2
_space_group_name_Hall '-P 1'
_cell_length_a 6.8399
_cell_length_b 7.2738
_cell_length_c 8.1749
_cell_angle_alpha 63.73
_cell_angle_beta 74.04
_cell_angle_gamma 70.89
loop_
_atom_site_label
_atom_site_type_symbol
_atom_site_fract_x
_atom_site_fract_y
_atom_site_fract_z
Re1 Re 0.0015 0.1955 0.4960
Te1 Te 0.0020 0.2629 0.9813
Te2 Te 0.2322 0.3820 0.5954
Te3 Te 0.2640 0.8459 0.1791
Se1 Se 0.2353 0.3116 0.1985
Se2 Se 0.2437 0.8548 0.6413
```

*3*
The following is a GGA-PBE calculation of a geometry-optimized ReTe3Se2 structure, from OQMD via LeMat-Bulk.

Structure (CIF):
```
data_ReTe3Se2
_space_group_name_H-M_alt 'P -1'
_space_group_IT_number 2
_space_group_name_Hall '-P 1'
_cell_length_a 7.3818
_cell_length_b 7.6999
_cell_length_c 7.8926
_cell_angle_alpha 95.97
_cell_angle_beta 112.48
_cell_angle_gamma 106.71
loop_
_atom_site_label
_atom_site_type_symbol
_atom_site_fract_x
_atom_site_fract_y
_atom_site_fract_z
Re1 Re 0.2243 0.0103 0.0253
Te1 Te 0.0575 0.2689 0.9263
Te2 Te 0.2501 0.0412 0.3804
Te3 Te 0.4745 0.8042 0.0937
Se1 Se 0.0450 0.8163 0.6812
Se2 Se 0.4465 0.6860 0.7661
```

*4*
The following is a GGA-PBE calculation of a geometry-optimized ReTe3Se2 structure, from OQMD via LeMat-Bulk.

Structure (CIF):
```
data_ReTe3Se2
_space_group_name_H-M_alt 'P -1'
_space_group_IT_number 2
_space_group_name_Hall '-P 1'
_cell_length_a 7.2427
_cell_length_b 7.5427
_cell_length_c 7.8516
_cell_angle_alpha 107.08
_cell_angle_beta 111.91
_cell_angle_gamma 102.54
loop_
_atom_site_label
_atom_site_type_symbol
_atom_site_fract_x
_atom_site_fract_y
_atom_site_fract_z
Re1 Re 0.2178 0.0090 0.0262
Te1 Te 0.2461 0.0284 0.3851
Te2 Te 0.4340 0.6375 0.6686
Te3 Te 0.4752 0.7927 0.0611
Se1 Se 0.0443 0.8051 0.6457
Se2 Se 0.0613 0.2635 0.9748
```

Of them, *2* has the highest stability.

*1*
The following is a GGA-PBE calculation of a geometry-optimized ReTe3Se2 structure, from OQMD via LeMat-Bulk.

Structure (CIF):
```
data_ReTe3Se2
_space_group_name_H-M_alt 'P -1'
_space_group_IT_number 2
_space_group_name_Hall '-P 1'
_cell_length_a 6.8052
_cell_length_b 7.5336
_cell_length_c 7.8663
_cell_angle_alpha 72.55
_cell_angle_beta 64.79
_cell_angle_gamma 71.38
loop_
_atom_site_label
_atom_site_type_symbol
_atom_site_fract_x
_atom_site_fract_y
_atom_site_fract_z
Re1 Re 0.2183 0.9997 0.4878
Te1 Te 0.1327 0.9924 0.1663
Te2 Te 0.2760 0.6531 0.7742
Te3 Te 0.3818 0.2824 0.1458
Se1 Se 0.1142 0.7061 0.4678
Se2 Se 0.3679 0.1506 0.6424
```

*2*
The following is a GGA-PBE calculation of a geometry-optimized ReTe3Se2 structure, from OQMD via LeMat-Bulk.

Structure (CIF):
```
data_ReTe3Se2
_space_group_name_H-M_alt 'P -1'
_space_group_IT_number 2
_space_group_name_Hall '-P 1'
_cell_length_a 6.8831
_cell_length_b 7.5944
_cell_length_c 7.8053
_cell_angle_alpha 72.29
_cell_angle_beta 65.40
_cell_angle_gamma 72.14
loop_
_atom_site_label
_atom_site_type_symbol
_atom_site_fract_x
_atom_site_fract_y
_atom_site_fract_z
Re1 Re 0.2070 0.4961 0.0015
Te1 Te 0.1637 0.4734 0.6686
Te2 Te 0.3657 0.7897 0.6810
Te3 Te 0.3671 0.6818 0.1506
Se1 Se 0.0951 0.2044 0.0019
Se2 Se 0.2479 0.2206 0.3044
```

Of them, *1* has the highest stability.

*1*
The following is a GGA-PBE calculation of a geometry-optimized Re2Te3Se structure, from OQMD via LeMat-Bulk.

Structure (CIF):
```
data_Re2Te3Se
_space_group_name_H-M_alt 'P -1'
_space_group_IT_number 2
_space_group_name_Hall '-P 1'
_cell_length_a 6.9522
_cell_length_b 7.1227
_cell_length_c 7.7375
_cell_angle_alpha 72.65
_cell_angle_beta 77.09
_cell_angle_gamma 61.52
loop_
_atom_site_label
_atom_site_type_symbol
_atom_site_fract_x
_atom_site_fract_y
_atom_site_fract_z
Re1 Re 0.0088 0.2997 0.0027
Re2 Re 0.4269 0.3243 0.0108
Te1 Te 0.1109 0.3645 0.2854
Te2 Te 0.1610 0.8565 0.1847
Te3 Te 0.3802 0.1169 0.7932
Se1 Se 0.3389 0.6672 0.7797
```

*2*
The following is a GGA-PBE calculation of a geometry-optimized Re2Te3Se structure, from OQMD via LeMat-Bulk.

Structure (CIF):
```
data_Re2Te3Se
_space_group_name_H-M_alt 'P -1'
_space_group_IT_number 2
_space_group_name_Hall '-P 1'
_cell_length_a 6.9980
_cell_length_b 7.1576
_cell_length_c 7.6025
_cell_angle_alpha 73.06
_cell_angle_beta 77.15
_cell_angle_gamma 61.21
loop_
_atom_site_label
_atom_site_type_symbol
_atom_site_fract_x
_atom_site_fract_y
_atom_site_fract_z
Re1 Re 0.0114 0.2991 0.0045
Re2 Re 0.4206 0.3232 0.0106
Te1 Te 0.1641 0.8552 0.1826
Te2 Te 0.3452 0.6715 0.7463
Te3 Te 0.3819 0.1143 0.7883
Se1 Se 0.1104 0.3804 0.2592
```

Of them, *2* has the highest stability.

*1*
The following is a GGA-PBE calculation of a geometry-optimized Re2Si structure, from OQMD via LeMat-Bulk.

Structure (CIF):
```
data_Re2Si
_space_group_name_H-M_alt 'P -6 2 m'
_space_group_IT_number 189
_space_group_name_Hall 'P -6 -2'
_cell_length_a 7.1689
_cell_length_b 7.1689
_cell_length_c 2.8307
_cell_angle_alpha 90.00
_cell_angle_beta 90.00
_cell_angle_gamma 120.00
loop_
_atom_site_label
_atom_site_type_symbol
_atom_site_fract_x
_atom_site_fract_y
_atom_site_fract_z
Re1 Re 0.0000 0.3105 0.0000
Re2 Re 0.0000 0.6438 0.5000
Si1 Si 0.0000 0.0000 0.5000
Si2 Si 0.3333 0.6667 0.0000
```

*2*
The following is a GGA-PBE calculation of a geometry-optimized Re2Si structure, from OQMD via LeMat-Bulk.

Structure (CIF):
```
data_Re2Si
_space_group_name_H-M_alt 'P 1 21/c 1'
_space_group_IT_number 14
_space_group_name_Hall '-P 2ybc'
_cell_length_a 6.7422
_cell_length_b 8.7987
_cell_length_c 5.8758
_cell_angle_alpha 90.00
_cell_angle_beta 97.92
_cell_angle_gamma 90.00
loop_
_atom_site_label
_atom_site_type_symbol
_atom_site_fract_x
_atom_site_fract_y
_atom_site_fract_z
Re1 Re 0.0188 0.0051 0.2923
Re2 Re 0.1117 0.2262 0.9937
Re3 Re 0.2425 0.7277 0.8075
Re4 Re 0.3601 0.0300 0.6536
Si1 Si 0.3164 0.5189 0.5529
Si2 Si 0.4244 0.2015 0.3226
```

Of them, *1* has the highest stability.

*1*
The following is a GGA-PBE calculation of a geometry-optimized SmReW structure, from OQMD via LeMat-Bulk.

Structure (CIF):
```
data_SmReW
_space_group_name_H-M_alt 'F -4 3 m'
_space_group_IT_number 216
_space_group_name_Hall 'F -4 2 3'
_cell_length_a 6.4014
_cell_length_b 6.4014
_cell_length_c 6.4014
_cell_angle_alpha 90.00
_cell_angle_beta 90.00
_cell_angle_gamma 90.00
loop_
_atom_site_label
_atom_site_type_symbol
_atom_site_fract_x
_atom_site_fract_y
_atom_site_fract_z
Sm1 Sm 0.0000 0.0000 0.0000
Re1 Re 0.0000 0.0000 0.5000
W1 W 0.2500 0.2500 0.7500
```

*2*
The following is a GGA-PBE calculation of a geometry-optimized SmReW structure, from OQMD via LeMat-Bulk.

Structure (CIF):
```
data_SmReW
_space_group_name_H-M_alt 'F -4 3 m'
_space_group_IT_number 216
_space_group_name_Hall 'F -4 2 3'
_cell_length_a 6.4123
_cell_length_b 6.4123
_cell_length_c 6.4123
_cell_angle_alpha 90.00
_cell_angle_beta 90.00
_cell_angle_gamma 90.00
loop_
_atom_site_label
_atom_site_type_symbol
_atom_site_fract_x
_atom_site_fract_y
_atom_site_fract_z
Sm1 Sm 0.0000 0.0000 0.0000
Re1 Re 0.2500 0.2500 0.7500
W1 W 0.2500 0.2500 0.2500
```

Of them, *1* has the highest stability.